(1)
Crystalline LiCaH2SeF at its relaxed geometry. Source: Alexandria, functional PBE.

abc: 6.5014 3.8627 8.6665
angles: 90.00 112.65 90.00
With the nearest neighbours (Å) after each atom.
Sites, in units of the cell vectors:
Li 0.4276 0.0000 0.2405  1 F 1.87
Li 0.4276 0.5000 0.7405  1 F 1.87
Ca 0.9129 0.0000 0.6085  2 F 2.32
Ca 0.9129 0.5000 0.1085  2 F 2.32
H 0.2379 0.0000 0.9728  1 H 0.76
H 0.2379 0.5000 0.4728  1 H 0.76
H 0.3486 0.0000 0.9620  1 H 0.76
H 0.3486 0.5000 0.4620  1 H 0.76
Se 0.6863 0.0000 0.8364  2 Li 2.48
Se 0.6863 0.5000 0.3364  2 Li 2.48
F 0.1231 0.0000 0.1996  1 Li 1.87
F 0.1231 0.5000 0.6996  1 Li 1.87

Summary:
The value obtained for the total energy is -50.26 eV per cell.



(2)
Crystalline LiCaH2SeF at its relaxed geometry. Source: Alexandria, functional PBE.

abc: 3.8908 4.7555 6.1816
angles: 74.96 89.99 65.89
With the nearest neighbours (Å) after each atom.
Sites, in units of the cell vectors:
Li 0.8719 0.3722 0.4411  1 F 1.86
Ca 0.2089 0.6966 0.9216  2 F 2.33, 1 H 2.60
H 0.0557 0.9934 0.2317  1 H 0.76
H 0.1404 0.8325 0.3216  1 H 0.76
Se 0.4584 0.1987 0.6919  2 Li 2.47
F 0.7915 0.5306 0.1285  1 Li 1.86

Summary:
The value obtained for the total energy is -25.17 eV per cell.



(3)
Crystalline LiCaH2SeF at its relaxed geometry. Source: Alexandria, functional PBE.

abc: 4.3574 4.3574 19.6056
angles: 90.00 90.00 120.00
With the nearest neighbours (Å) after each atom.
Sites, in units of the cell vectors:
H 0.0000 0.0000 0.3141  1 H 0.76
H 0.3333 0.6667 0.9808  1 H 0.76
H 0.6667 0.3333 0.6475  1 H 0.76
H 0.0000 0.0000 0.2754  1 H 0.76
H 0.3333 0.6667 0.9421  1 H 0.76
H 0.6667 0.3333 0.6087  1 H 0.76
Ca 0.0000 0.0000 0.6828  1 F 2.10
Ca 0.3333 0.6667 0.3494  1 F 2.10
Ca 0.6667 0.3333 0.0161  1 F 2.10
F 0.0000 0.0000 0.5755  1 Li 1.79
F 0.3333 0.6667 0.2422  1 Li 1.79
F 0.6667 0.3333 0.9088  1 Li 1.79
Se 0.0000 0.0000 0.0891  3 Li 2.79, 3 Ca 2.89
Se 0.3333 0.6667 0.7557  3 Li 2.79, 3 Ca 2.89
Se 0.6667 0.3333 0.4224  3 Li 2.79, 3 Ca 2.89
Li 0.0000 0.0000 0.4843  1 F 1.79
Li 0.3333 0.6667 0.1510  1 F 1.79
Li 0.6667 0.3333 0.8176  1 F 1.79

Summary:
The value obtained for the total energy is -74.78 eV per cell.